Entry 1:
Material: La3NdTlNi
Method: DFT, GGA-PBE
State: relaxed

abc: 9.3130 9.3130 6.3487
angles: 109.84 109.84 45.70
Atoms (fractional coordinates):
La: 0.1302 0.6346 0.8832
La: 0.3059 0.3059 0.3073
La: 0.3654 0.8698 0.1168
La: 0.6346 0.1302 0.8832
La: 0.6941 0.6941 0.6927
La: 0.8698 0.3654 0.1168
Nd: 0.2368 0.7632 0.5000
Nd: 0.7632 0.2368 0.5000
Tl: 0.1930 0.1930 0.6930
Tl: 0.8070 0.8070 0.3070
Ni: 0.5003 0.5003 0.1962
Ni: 0.4997 0.4997 0.8038

Computed properties:
As for the energy of formation from the pure elements: -0.239 eV/atom. As for the total magnetization: 0.0 μB per formula unit. As for the mass density: 7.47 Mg/m³. The electronic total energy is -4.856 eV per atom. The space group is C2/m, No. 12.


Entry 2:
Material: As2IrCl
Method: DFT, GGA-PBE
State: relaxed

abc: 7.0801 7.0801 7.0801
angles: 128.26 128.26 76.20
Atoms (fractional coordinates):
As: 0.0482 0.6250 0.9232
As: 0.3750 0.2982 0.4232
As: 0.7018 0.1250 0.0768
As: 0.8750 0.9518 0.5768
Ir: 0.0000 0.0000 0.0000
Ir: 0.7500 0.2500 0.5000
Cl: 0.2500 0.7500 0.5000
Cl: 0.5000 0.5000 0.0000

Computed properties:
As for the total magnetization: 0.0 μB per formula unit. The energy relative to the elements, uncorrected is 41 meV per atom. As for the mass density: 5.90 Mg/m³. The electronic total energy is -4.961 eV per atom. As for the offset from the most stable computed form: 287 meV per atom. The space group is I-42d, No. 122.


Entry 3:
Material: Rb2PaGaTe5
Method: DFT, GGA-PBE
State: relaxed

abc: 11.0946 11.0946 15.4837
angles: 90.00 90.00 156.74
Atoms (fractional coordinates):
Rb: 0.1173 0.8827 0.5000
Rb: 0.1261 0.8739 0.8565
Rb: 0.8739 0.1261 0.3565
Rb: 0.8827 0.1173 0.0000
Pa: 0.2000 0.8000 0.1939
Pa: 0.8000 0.2000 0.6939
Ga: 0.4319 0.5681 0.5886
Ga: 0.5681 0.4319 0.0886
Te: 0.0562 0.9438 0.1952
Te: 0.3063 0.6937 0.8241
Te: 0.3071 0.6929 0.5558
Te: 0.3305 0.6695 0.1766
Te: 0.4906 0.5094 0.4473
Te: 0.5094 0.4906 0.9473
Te: 0.6695 0.3305 0.6766
Te: 0.6929 0.3071 0.0558
Te: 0.6937 0.3063 0.3241
Te: 0.9438 0.0562 0.6952

Computed properties:
As for the total magnetization: 0.1 μB per formula unit. The energy relative to the elements, uncorrected is -795 meV per atom. As for the mass density: 4.90 Mg/m³. The electronic total energy is -4.147 eV per atom. The space group is Cmc2_1, No. 36.


Entry 4:
Material: NaS2ICl
Method: DFT, GGA-PBE
State: relaxed

abc: 5.1579 5.1579 5.5900
angles: 90.00 90.00 90.00
Atoms (fractional coordinates):
Na: 0.0000 0.0000 0.0000
S: 0.0000 0.5000 0.5000
S: 0.5000 0.0000 0.5000
I: 0.5000 0.5000 0.5000
Cl: 0.5000 0.5000 0.0000

Computed properties:
As for the total magnetization: 0.0 μB per formula unit. The energy relative to the elements, uncorrected is 35 meV per atom. As for the mass density: 2.79 Mg/m³. The electronic total energy is -2.559 eV per atom. As for the offset from the most stable computed form: 0 meV per atom. The space group is P4/mmm, No. 123.


Entry 5:
Material: Li2HgAs
Method: DFT, GGA-PBE
State: relaxed

abc: 5.8717 5.8717 5.8717
angles: 138.68 138.51 59.99
Atoms (fractional coordinates):
Li: 0.2396 0.2396 0.0000
Li: 0.7604 0.7604 0.0000
Hg: 0.5000 0.5000 0.0000
As: 0.0000 0.0000 0.0000

Computed properties:
As for the energy of formation from the pure elements: 0.024 eV/atom. As for the total magnetization: 0.0 μB per formula unit. As for the mass density: 5.48 Mg/m³. The electronic total energy is -2.171 eV per atom. The space group is Immm, No. 71.


Entry 6:
Material: InHgC2
Method: DFT, GGA-PBE
State: relaxed

abc: 4.3674 4.3674 4.3674
angles: 60.00 60.00 60.00
Atoms (fractional coordinates):
In: 0.0000 0.0000 0.0000
Hg: 0.5000 0.5000 0.5000
C: 0.2500 0.2500 0.2500
C: 0.7500 0.7500 0.7500

Computed properties:
As for the energy of formation from the pure elements: 2.369 eV/atom. As for the total magnetization: 0.0 μB per formula unit. As for the mass density: 9.57 Mg/m³. The electronic total energy is -3.003 eV per atom. As for the offset from the most stable computed form: 505 meV per atom. The space group is Fm-3m, No. 225.


Entry 7:
Material: BaCuBr2
Method: DFT, GGA-PBE
State: relaxed

abc: 5.5262 5.5262 5.5262
angles: 60.00 60.00 60.00
Atoms (fractional coordinates):
Ba: 0.0000 0.0000 0.0000
Cu: 0.5000 0.5000 0.5000
Br: 0.2500 0.2500 0.2500
Br: 0.7500 0.7500 0.7500

Computed properties:
As for the total magnetization: 0.9 μB per formula unit. The energy relative to the elements, uncorrected is -919 meV per atom. As for the mass density: 5.02 Mg/m³. The electronic total energy is -3.260 eV per atom. As for the offset from the most stable computed form: 83 meV per atom. The space group is Fm-3m, No. 225.


Entry 8:
Material: Pm12Hg6Pt
Method: DFT, GGA-PBE
State: relaxed

abc: 8.4353 8.4353 8.4353
angles: 93.96 93.96 93.96
Atoms (fractional coordinates):
Pm: 0.0427 0.7003 0.9302
Pm: 0.0698 0.9573 0.2997
Pm: 0.1793 0.5338 0.4050
Pm: 0.2997 0.0698 0.9573
Pm: 0.4050 0.1793 0.5338
Pm: 0.4662 0.5950 0.8207
Pm: 0.5338 0.4050 0.1793
Pm: 0.5950 0.8207 0.4662
Pm: 0.7003 0.9302 0.0427
Pm: 0.8207 0.4662 0.5950
Pm: 0.9302 0.0427 0.7003
Pm: 0.9573 0.2997 0.0698
Hg: 0.1533 0.3592 0.7640
Hg: 0.2360 0.8467 0.6408
Hg: 0.3592 0.7640 0.1533
Hg: 0.6408 0.2360 0.8467
Hg: 0.7640 0.1533 0.3592
Hg: 0.8467 0.6408 0.2360
Pt: 0.5000 0.5000 0.5000

Computed properties:
As for the energy of formation from the pure elements: -0.300 eV/atom. As for the total magnetization: 0.0 μB per formula unit. As for the mass density: 8.75 Mg/m³. The electronic total energy is -3.713 eV per atom. The space group is R-3, No. 148.


Entry 9:
Material: CaY6Tm12
Method: DFT, GGA-PBE
State: relaxed

abc: 9.3480 9.3480 9.3480
angles: 110.91 110.91 110.91
Atoms (fractional coordinates):
Ca: 0.0000 0.0000 0.0000
Y: 0.0517 0.3654 0.5760
Y: 0.3654 0.5760 0.0517
Y: 0.4240 0.9483 0.6346
Y: 0.5760 0.0517 0.3654
Y: 0.6346 0.4240 0.9483
Y: 0.9483 0.6346 0.4240
Tm: 0.1059 0.7329 0.1597
Tm: 0.1597 0.1059 0.7329
Tm: 0.2141 0.4801 0.3198
Tm: 0.2671 0.8403 0.8941
Tm: 0.3198 0.2141 0.4801
Tm: 0.4801 0.3198 0.2141
Tm: 0.5199 0.6802 0.7859
Tm: 0.6802 0.7859 0.5199
Tm: 0.7329 0.1597 0.1059
Tm: 0.7859 0.5199 0.6802
Tm: 0.8403 0.8941 0.2671
Tm: 0.8941 0.2671 0.8403

Computed properties:
As for the energy of formation from the pure elements: 0.051 eV/atom. As for the total magnetization: 0.0 μB per formula unit. As for the mass density: 7.28 Mg/m³. The electronic total energy is -4.919 eV per atom. The space group is R-3, No. 148.


Entry 10:
Material: CaZr2Si
Method: DFT, GGA-PBE
State: relaxed

abc: 9.2688 9.2688 9.2688
angles: 22.95 22.95 22.95
Atoms (fractional coordinates):
Ca: 0.0000 0.0000 0.0000
Zr: 0.2229 0.2229 0.2229
Zr: 0.7771 0.7771 0.7771
Si: 0.5000 0.5000 0.5000

Computed properties:
As for the total magnetization: 0.0 μB per formula unit. The energy relative to the elements, uncorrected is -94 meV per atom. As for the mass density: 3.92 Mg/m³. The electronic total energy is -6.224 eV per atom. The space group is R-3m, No. 166.


Entry 11:
Material: LiY2Mn2
Method: DFT, GGA-PBE
State: relaxed

abc: 10.3405 10.3405 10.3405
angles: 161.84 161.84 25.79
Atoms (fractional coordinates):
Li: 0.0000 0.0000 0.0000
Y: 0.3716 0.3716 0.0000
Y: 0.6284 0.6284 0.0000
Mn: 0.2500 0.7500 0.5000
Mn: 0.7500 0.2500 0.5000

Computed properties:
As for the energy of formation from the pure elements: 0.377 eV/atom. As for the total magnetization: 0.0 μB per formula unit. As for the mass density: 4.56 Mg/m³. The electronic total energy is -6.259 eV per atom. As for the offset from the most stable computed form: 155 meV per atom. The space group is I4/mmm, No. 139.


Entry 12:
Material: Cd2TeP
Method: DFT, GGA-PBE
State: relaxed

abc: 3.5064 4.0922 7.4639
angles: 90.00 90.00 90.00
Atoms (fractional coordinates):
Cd: 0.0000 0.0000 0.0000
Cd: 0.5000 0.5000 0.4097
Te: 0.5000 0.5000 0.8127
P: 0.0000 0.0000 0.3384

Computed properties:
As for the total magnetization: 0.0 μB per formula unit. The energy relative to the elements, uncorrected is -3 meV per atom. As for the mass density: 5.94 Mg/m³. The electronic total energy is -2.598 eV per atom. As for the offset from the most stable computed form: 64 meV per atom. The space group is Pmm2, No. 25.